Density functional theory data (GGA-PBE) for a relaxed structure of Ba2Al3Zn4Au.

Unit cell a=4.6784 b=4.6784 c=10.5711 alpha=90.00 beta=90.00 gamma=90.00
Sites, in units of the cell vectors:
Ba  0.0000  0.5000  0.2491
Ba  0.5000  0.0000  0.7509
Al  0.0000  0.5000  0.8776
Al  0.5000  0.0000  0.1224
Al  0.5000  0.5000  0.5000
Zn  0.0000  0.0000  0.0000
Zn  0.0000  0.5000  0.6253
Zn  0.5000  0.0000  0.3747
Zn  0.5000  0.5000  0.0000
Au  0.0000  0.0000  0.5000

Computed properties:
**Density of states at the Fermi level**: 0.56 states/eV per atom
**Calculated formation energy**: -0.2582 eV/atom
**Theoretical density**: 5.843 g/cm³

---

Density functional theory data (GGA-PBE) for a relaxed structure of Pr4NdY4.

Unit cell a=8.1579 b=8.1579 c=8.1579 alpha=95.72 beta=95.72 gamma=143.20
Sites, in units of the cell vectors:
Pr  0.0000  0.3314  0.3314
Pr  0.0000  0.6686  0.6686
Pr  0.3314  0.0000  0.3314
Pr  0.6686  0.0000  0.6686
Nd  0.0000  0.0000  0.0000
Y  0.3337  0.3337  0.6673
Y  0.3337  0.6663  0.0000
Y  0.6663  0.3337  0.0000
Y  0.6663  0.6663  0.3327

Computed properties:
**Density of states at the Fermi level**: 1.47 states/eV per atom
**Calculated formation energy**: 0.0147 eV/atom
**Theoretical density**: 5.722 g/cm³

---

Density functional theory data (GGA-PBE) for a relaxed structure of SrZn3Rh.

Unit cell a=12.0759 b=12.0759 c=12.0759 alpha=158.03 beta=158.03 gamma=31.27
Sites, in units of the cell vectors:
Sr  0.0000  0.0000  0.0000
Sr  0.7500  0.2500  0.5000
Zn  0.3535  0.3535  0.0000
Zn  0.3736  0.1283  0.2453
Zn  0.6465  0.6465  0.0000
Zn  0.8717  0.1170  0.2453
Zn  0.8717  0.6264  0.7547
Zn  0.8830  0.1283  0.7547
Rh  0.1938  0.6938  0.5000
Rh  0.3062  0.8062  0.5000

Computed properties:
**Density of states at the Fermi level**: 0.64 states/eV per atom
**Calculated formation energy**: 0.0429 eV/atom
**Theoretical density**: 5.214 g/cm³
**Offset from the most stable computed form**: 0.390 eV per atom

---

Density functional theory data (GGA-PBE) for a relaxed structure of ScGa2Cu2.

Unit cell a=12.1675 b=3.2418 c=4.2445 alpha=90.00 beta=110.33 gamma=90.00
Sites, in units of the cell vectors:
Sc  0.0000  0.0000  0.0000
Sc  0.5000  0.5000  0.0000
Ga  0.1103  0.5000  0.6097
Ga  0.3897  0.0000  0.3903
Ga  0.6103  0.0000  0.6097
Ga  0.8897  0.5000  0.3903
Cu  0.2208  0.5000  0.2198
Cu  0.2792  0.0000  0.7802
Cu  0.7208  0.0000  0.2198
Cu  0.7792  0.5000  0.7802

Computed properties:
**Density of states at the Fermi level**: 0.40 states/eV per atom
**Calculated formation energy**: -0.3550 eV/atom
**Theoretical density**: 6.590 g/cm³

---

Density functional theory data (GGA-PBE) for a relaxed structure of SrNdAgAu.

Unit cell a=7.5698 b=7.5698 c=7.5698 alpha=90.00 beta=90.00 gamma=90.00
Sites, in units of the cell vectors:
Sr  0.0000  0.0000  0.0000
Sr  0.0000  0.5000  0.5000
Sr  0.5000  0.0000  0.5000
Sr  0.5000  0.5000  0.0000
Nd  0.0000  0.0000  0.5000
Nd  0.0000  0.5000  0.0000
Nd  0.5000  0.0000  0.0000
Nd  0.5000  0.5000  0.5000
Ag  0.2500  0.2500  0.2500
Ag  0.2500  0.7500  0.7500
Ag  0.7500  0.2500  0.7500
Ag  0.7500  0.7500  0.2500
Au  0.2500  0.2500  0.7500
Au  0.2500  0.7500  0.2500
Au  0.7500  0.2500  0.2500
Au  0.7500  0.7500  0.7500

Computed properties:
**Density of states at the Fermi level**: 0.74 states/eV per atom
**Calculated formation energy**: -0.4846 eV/atom
**Theoretical density**: 8.218 g/cm³
**Offset from the most stable computed form**: 0.019 eV per atom

---

Density functional theory data (GGA-PBE) for a relaxed structure of LiCoIr.

Unit cell a=5.5185 b=5.5185 c=5.5185 alpha=90.00 beta=90.00 gamma=90.00
Sites, in units of the cell vectors:
Li  0.0000  0.0000  0.0000
Li  0.0000  0.5000  0.5000
Li  0.5000  0.0000  0.5000
Li  0.5000  0.5000  0.0000
Co  0.2500  0.2500  0.7500
Co  0.2500  0.7500  0.2500
Co  0.7500  0.2500  0.2500
Co  0.7500  0.7500  0.7500
Ir  0.0000  0.0000  0.5000
Ir  0.0000  0.5000  0.0000
Ir  0.5000  0.0000  0.0000
Ir  0.5000  0.5000  0.5000

Computed properties:
**Density of states at the Fermi level**: 1.34 states/eV per atom
**Calculated formation energy**: 0.3624 eV/atom
**Theoretical density**: 10.200 g/cm³
**Offset from the most stable computed form**: 0.330 eV per atom